1.
Material: Rb2In3Bi2
Method: DFT, PBE
State: relaxed

a b c (Å): 6.964 6.964 8.235
angles (deg): 110.81 110.81 43.92
Fractional coordinates of all 7 atoms:
Rb 0.146 0.146 0.285
Rb 0.854 0.854 0.715
In 0.403 0.403 0.070
In 0.500 0.500 0.500
In 0.597 0.597 0.930
Bi 0.159 0.159 0.772
Bi 0.841 0.841 0.228

Relative energy among the computed polymorphs (meV per atom): 0
Energy of formation (kJ/mol of formula units): -119
Symmetry: C2/m
V (Å³/atom): 36.558

=====

2.
Material: YSe2Br
Method: DFT, PBE
State: relaxed

a b c (Å): 5.011 5.011 4.492
angles (deg): 91.49 91.49 114.44
Fractional coordinates of all 4 atoms:
Y 0.000 0.000 0.000
Se 0.000 0.500 0.500
Se 0.500 0.000 0.500
Br 0.500 0.500 0.000

Relative energy among the computed polymorphs (meV per atom): 402
Symmetry: C2/m
V (Å³/atom): 25.646

=====

3.
Material: RbHI2
Method: DFT, PBE
State: relaxed

a b c (Å): 9.928 9.928 9.928
angles (deg): 25.33 25.33 25.33
Fractional coordinates of all 4 atoms:
Rb 0.000 0.000 0.000
H 0.500 0.500 0.500
I 0.115 0.115 0.115
I 0.885 0.885 0.885

Relative energy among the computed polymorphs (meV per atom): 985
Symmetry: R-3m
V (Å³/atom): 39.392